# 1
# BeRe2W, optimized geometry, DFT PBE
data_BeRe2W
_space_group_name_H-M_alt 'P 1 m 1'
_space_group_IT_number 6
_space_group_name_Hall 'P -2y'
_cell_length_a 2.7418
_cell_length_b 4.2419
_cell_length_c 5.0042
_cell_angle_alpha 90.00
_cell_angle_beta 102.30
_cell_angle_gamma 90.00
loop_
_atom_site_label
_atom_site_fract_x
_atom_site_fract_y
_atom_site_fract_z
Be1 0.0000 0.0000 0.0000
Re1 0.6139 0.0000 0.4915
Re2 0.9674 0.5000 0.2740
W1 0.4440 0.5000 0.7909
# - energy of formation (eV per atom) = 0.1398
# - spin magnetization (Bohr magnetons per cell) = 0.00



# 2
# LiHf2Nb2, optimized geometry, DFT PBE
data_LiHf2Nb2
_space_group_name_H-M_alt 'P 4/m b m'
_space_group_IT_number 127
_space_group_name_Hall '-P 4 2ab'
_cell_length_a 7.2872
_cell_length_b 7.2872
_cell_length_c 3.8567
_cell_angle_alpha 90.00
_cell_angle_beta 90.00
_cell_angle_gamma 90.00
loop_
_atom_site_label
_atom_site_fract_x
_atom_site_fract_y
_atom_site_fract_z
Li1 0.0000 0.0000 0.0000
Hf1 0.1635 0.3365 0.5000
Nb1 0.1311 0.6311 0.0000
# - energy of formation (eV per atom) = 0.3402
# - spin magnetization (Bohr magnetons per cell) = 0.00